[1]
This record from Alexandria describes Ga3Cu2Pd after structural relaxation. The functional is PBE-GGA.

a = 3.957 Å, b = 8.513 Å, c = 5.277 Å
α = 90.00°, β = 90.00°, γ = 90.00°
Atoms (fractional coordinates):
Ga 0.000 0.092 0.000
Ga 0.000 0.908 0.500
Ga 0.500 0.236 0.308
Ga 0.500 0.404 0.811
Ga 0.500 0.596 0.311
Ga 0.500 0.764 0.808
Cu 0.000 0.264 0.617
Cu 0.000 0.736 0.117
Cu 0.500 0.058 0.682
Cu 0.500 0.942 0.182
Pd 0.000 0.410 0.143
Pd 0.000 0.590 0.643

Energy ... -4.00 eV/atom
V ... 14.814 Å³ per atom
Formation energy from the elements ... -0.2565 eV per atom
Space group ... Pmc2_1

[2]
This record from Alexandria describes LiCd4Pd15 after structural relaxation. The functional is PBE-GGA.

a = 4.026 Å, b = 4.026 Å, c = 19.803 Å
α = 90.00°, β = 90.00°, γ = 90.00°
Atoms (fractional coordinates):
Li 0.000 0.000 0.000
Cd 0.000 0.000 0.195
Cd 0.000 0.000 0.398
Cd 0.000 0.000 0.602
Cd 0.000 0.000 0.805
Pd 0.000 0.500 0.093
Pd 0.000 0.500 0.296
Pd 0.000 0.500 0.500
Pd 0.000 0.500 0.704
Pd 0.000 0.500 0.907
Pd 0.500 0.000 0.093
Pd 0.500 0.000 0.296
Pd 0.500 0.000 0.500
Pd 0.500 0.000 0.704
Pd 0.500 0.000 0.907
Pd 0.500 0.500 0.000
Pd 0.500 0.500 0.194
Pd 0.500 0.500 0.398
Pd 0.500 0.500 0.602
Pd 0.500 0.500 0.806

Energy ... -4.41 eV/atom
V ... 16.046 Å³ per atom
Formation energy from the elements ... -0.2388 eV per atom
Space group ... P4/mmm

[3]
This record from Alexandria describes Nd4MgCd3 after structural relaxation. The functional is PBE-GGA.

a = 3.587 Å, b = 5.035 Å, c = 12.769 Å
α = 90.00°, β = 90.00°, γ = 90.00°
Atoms (fractional coordinates):
Nd 0.000 0.000 0.000
Nd 0.000 0.500 0.323
Nd 0.500 0.000 0.496
Nd 0.500 0.500 0.827
Mg 0.000 0.000 0.726
Cd 0.000 0.500 0.595
Cd 0.500 0.000 0.230
Cd 0.500 0.500 0.094

Energy ... -3.14 eV/atom
Offset from the most stable computed form ... 50 meV per atom
V ... 28.828 Å³ per atom
Formation energy from the elements ... -0.2179 eV per atom
Space group ... Pmm2

[4]
This record from Alexandria describes MnSiN2 after structural relaxation. The functional is PBE-GGA.

a = 5.322 Å, b = 6.532 Å, c = 5.120 Å
α = 90.00°, β = 90.00°, γ = 90.00°
Atoms (fractional coordinates):
Mn 0.080 0.124 0.000
Mn 0.420 0.624 0.500
Mn 0.580 0.376 0.000
Mn 0.920 0.876 0.500
Si 0.068 0.625 0.005
Si 0.432 0.125 0.505
Si 0.568 0.875 0.005
Si 0.932 0.375 0.505
N 0.048 0.592 0.346
N 0.114 0.159 0.417
N 0.386 0.659 0.917
N 0.452 0.092 0.846
N 0.548 0.908 0.346
N 0.614 0.341 0.417
N 0.886 0.841 0.917
N 0.952 0.408 0.846

Energy ... -8.44 eV/atom
V ... 11.124 Å³ per atom
Space group ... Pna2_1
Formation energy from raw total energies ... -2.52 eV per formula unit

[5]
This record from Alexandria describes Ba6Zn5Ga after structural relaxation. The functional is PBE-GGA.

a = 5.795 Å, b = 8.259 Å, c = 9.149 Å
α = 90.00°, β = 108.33°, γ = 90.00°
Atoms (fractional coordinates):
Ba 0.000 0.250 0.000
Ba 0.000 0.750 0.000
Ba 0.333 0.249 0.668
Ba 0.333 0.751 0.668
Ba 0.667 0.249 0.332
Ba 0.667 0.751 0.332
Zn 0.166 0.000 0.329
Zn 0.168 0.500 0.335
Zn 0.500 0.500 0.000
Zn 0.832 0.500 0.665
Zn 0.834 0.000 0.671
Ga 0.500 0.000 0.000

Energy ... -1.94 eV/atom
V ... 34.639 Å³ per atom
Formation energy from the elements ... -0.1925 eV per atom
Space group ... P2/m

[6]
This record from Alexandria describes Zr2NbAl after structural relaxation. The functional is PBE-GGA.

a = 3.518 Å, b = 3.518 Å, c = 6.474 Å
α = 90.00°, β = 90.00°, γ = 90.00°
Atoms (fractional coordinates):
Zr 0.000 0.000 0.248
Zr 0.000 0.000 0.752
Nb 0.500 0.500 0.000
Al 0.500 0.500 0.500

Energy ... -7.94 eV/atom
V ... 20.026 Å³ per atom
Formation energy from the elements ... -0.2153 eV per atom
Space group ... P4/mmm

[7]
This record from Alexandria describes Zr2CrCdH after structural relaxation. The functional is PBE-GGA.

a = 4.644 Å, b = 4.644 Å, c = 3.656 Å
α = 90.00°, β = 90.00°, γ = 90.00°
Atoms (fractional coordinates):
Zr 0.000 0.500 0.000
Zr 0.500 0.000 0.000
Cr 0.000 0.000 0.500
Cd 0.500 0.500 0.500
H 0.000 0.000 0.000

Energy ... -6.20 eV/atom
V ... 15.769 Å³ per atom
Space group ... P4/mmm

[8]
This record from Alexandria describes Hf3HS5 after structural relaxation. The functional is PBE-GGA.

a = 6.916 Å, b = 6.916 Å, c = 8.120 Å
α = 103.80°, β = 103.80°, γ = 75.98°
Atoms (fractional coordinates):
Hf 0.000 0.000 0.000
Hf 0.000 0.000 0.500
Hf 0.290 0.290 0.416
Hf 0.344 0.344 0.846
Hf 0.656 0.656 0.154
Hf 0.710 0.710 0.584
H 0.058 0.058 0.279
H 0.942 0.942 0.721
S 0.002 0.370 0.626
S 0.236 0.236 0.084
S 0.290 0.710 0.000
S 0.370 0.002 0.626
S 0.483 0.483 0.661
S 0.517 0.517 0.339
S 0.630 0.998 0.374
S 0.710 0.290 0.000
S 0.764 0.764 0.916
S 0.998 0.630 0.374

Energy ... -7.13 eV/atom
V ... 19.954 Å³ per atom
Space group ... C2/m

[9]
This record from Alexandria describes Tb12Dy6Er after structural relaxation. The functional is PBE-GGA.

a = 9.358 Å, b = 9.358 Å, c = 9.358 Å
α = 108.59°, β = 108.59°, γ = 108.59°
Atoms (fractional coordinates):
Tb 0.000 0.391 0.609
Tb 0.000 0.609 0.391
Tb 0.136 0.136 0.346
Tb 0.136 0.346 0.136
Tb 0.346 0.136 0.136
Tb 0.391 0.000 0.609
Tb 0.391 0.609 0.000
Tb 0.609 0.000 0.391
Tb 0.609 0.391 0.000
Tb 0.654 0.864 0.864
Tb 0.864 0.654 0.864
Tb 0.864 0.864 0.654
Dy 0.177 0.177 0.750
Dy 0.177 0.750 0.177
Dy 0.250 0.823 0.823
Dy 0.750 0.177 0.177
Dy 0.823 0.250 0.823
Dy 0.823 0.823 0.250
Er 0.500 0.500 0.500

Energy ... -4.17 eV/atom
Offset from the most stable computed form ... 296 meV per atom
V ... 34.239 Å³ per atom
Formation energy from the elements ... 0.4486 eV per atom
Space group ... R-3m

[10]
This record from Alexandria describes Rb3DyHo2O6 after structural relaxation. The functional is PBE-GGA.

a = 6.059 Å, b = 6.059 Å, c = 6.861 Å
α = 98.47°, β = 98.47°, γ = 120.00°
Atoms (fractional coordinates):
Rb 0.000 0.000 0.000
Rb 0.333 0.667 0.000
Rb 0.667 0.333 0.000
Dy 0.500 0.500 0.500
Ho 0.167 0.833 0.500
Ho 0.833 0.167 0.500
O 0.107 0.442 0.325
O 0.224 0.224 0.675
O 0.442 0.107 0.325
O 0.558 0.893 0.675
O 0.776 0.776 0.325
O 0.893 0.558 0.675

Energy ... -6.57 eV/atom
V ... 17.373 Å³ per atom
Space group ... C2/m
Formation energy from raw total energies ... -32.48 eV per formula unit

[11]
This record from Alexandria describes Tb2SmPaSe4 after structural relaxation. The functional is PBE-GGA.

a = 7.109 Å, b = 4.066 Å, c = 7.161 Å
α = 90.00°, β = 108.93°, γ = 90.00°
Atoms (fractional coordinates):
Tb 0.000 0.000 0.000
Tb 0.500 0.500 0.000
Sm 0.000 0.500 0.500
Pa 0.500 0.000 0.500
Se 0.251 0.500 0.246
Se 0.254 0.000 0.755
Se 0.746 0.000 0.245
Se 0.749 0.500 0.754

Energy ... -6.30 eV/atom
V ... 24.475 Å³ per atom
Space group ... P2/m
Formation energy from raw total energies ... -12.99 eV per formula unit

[12]
This record from Alexandria describes SrRu2Au after structural relaxation. The functional is PBE-GGA.

a = 4.173 Å, b = 4.845 Å, c = 4.737 Å
α = 90.00°, β = 97.60°, γ = 90.00°
Atoms (fractional coordinates):
Sr 0.000 0.000 0.000
Ru 0.259 0.500 0.617
Ru 0.741 0.500 0.383
Au 0.500 0.000 0.500

Energy ... -5.46 eV/atom
Offset from the most stable computed form ... 321 meV per atom
V ... 23.732 Å³ per atom
Formation energy from the elements ... 0.4128 eV per atom
Space group ... P2/m